A | VASP calculation (PBE) on a relaxed KTcBr crystal.

Calculated values
total magnetic moment = 3.48 Bohr magnetons per cell
ρ = 4.39 g/cm³

a b c (Å): 3.6031 3.6031 7.2954
angles (deg): 90.00 90.00 120.00
With the nearest neighbours (Å) after each atom.
Space group P3m1 (No. 156)
Symmetry-distinct sites (fractional):
K 0.0000 0.0000 0.0000 x1  3 Br 3.27, 3 Tc 3.56, 6 K 3.60
Tc 0.3333 0.6667 0.3961 x1  3 Br 2.81
Br 0.6667 0.3333 0.6544 x1  3 Tc 2.81

---

B | VASP calculation (PBE) on a relaxed KTcBr crystal.

Calculated values
total magnetic moment = 20.00 Bohr magnetons per cell
ρ = 2.97 g/cm³

a b c (Å): 7.8623 7.8623 7.8623
angles (deg): 90.00 90.00 90.00
With the nearest neighbours (Å) after each atom.
Space group F-43m (No. 216)
Symmetry-distinct sites (fractional):
K 0.0000 0.0000 0.0000 x4  4 Tc 3.40, 4 Br 3.40
Tc 0.2500 0.2500 0.2500 x4  4 K 3.40
Br 0.2500 0.2500 0.7500 x4  4 K 3.40

---

C | VASP calculation (PBE) on a relaxed KTcBr crystal.

Calculated values
total magnetic moment = 0.00 Bohr magnetons per cell
ρ = 5.03 g/cm³

a b c (Å): 3.3641 3.3641 12.6497
angles (deg): 90.00 90.00 90.00
With the nearest neighbours (Å) after each atom.
Space group I4mm (No. 107)
Symmetry-distinct sites (fractional):
K 0.0000 0.0000 0.0000 x2  4 K 3.36, 5 Tc 3.55-3.69, 5 Br 3.60-3.63
Tc 0.0000 0.0000 0.2914 x2  4 Br 2.58
Br 0.0000 0.0000 0.7132 x2  4 Tc 2.58

---

The computed energies, referenced to the most stable structure and given in kJ/mol of atoms, are A 6.8; B 51.5; C 0.0.

---

A | VASP calculation (PBE) on a relaxed KTc2Br crystal.

Calculated values
total magnetic moment = 6.39 Bohr magnetons per cell
ρ = 6.79 g/cm³

a b c (Å): 6.7555 6.7555 6.7555
angles (deg): 90.00 90.00 90.00
With the nearest neighbours (Å) after each atom.
Space group F-43m (No. 216)
Symmetry-distinct sites (fractional):
K 0.0000 0.0000 0.0000 x4  4 Br 2.93, 4 Tc 2.93
Tc 0.0000 0.0000 0.5000 x4  4 Tc 2.93, 4 Br 2.93
Tc 0.2500 0.2500 0.7500 x4  4 K 2.93, 4 Tc 2.93
Br 0.2500 0.2500 0.2500 x4  4 K 2.93, 4 Tc 2.93

---

B | VASP calculation (PBE) on a relaxed KTc2Br crystal.

Calculated values
total magnetic moment = 0.00 Bohr magnetons per cell
ρ = 5.22 g/cm³

a b c (Å): 6.4576 3.6090 9.0341
angles (deg): 90.00 107.88 90.00
With the nearest neighbours (Å) after each atom.
Space group Cm (No. 8)
Symmetry-distinct sites (fractional):
K 0.0000 0.0000 0.0000 x2  3 Br 3.19
Tc 0.0552 0.5000 0.4671 x2  3 Tc 2.38
Tc 0.3281 0.5000 0.3405 x2  3 Tc 2.38
Br 0.2077 0.0000 0.7225 x2  2 Tc 2.86, 3 K 3.19

---

The computed energies, referenced to the most stable structure and given in kJ/mol of atoms, are A 99.9; B 0.0.

---

A | VASP calculation (PBE) on a relaxed KTc2Br crystal.

Calculated values
total magnetic moment = 4.41 Bohr magnetons per cell
ρ = 5.58 g/cm³

a b c (Å): 5.4392 13.1153 3.3120
angles (deg): 90.00 127.43 90.00
With the nearest neighbours (Å) after each atom.
Space group C2/m (No. 12)
Symmetry-distinct sites (fractional):
K 0.0000 0.0000 0.0000 x2  4 Br 2.72
Tc 0.2500 0.2500 0.0000 x4  4 Tc 2.72
Br 0.0000 0.5000 0.0000 x2  4 K 2.72

---

B | VASP calculation (PBE) on a relaxed KTc2Br crystal.

Calculated values
total magnetic moment = 0.00 Bohr magnetons per cell
ρ = 5.20 g/cm³

a b c (Å): 4.4437 4.4437 20.3576
angles (deg): 90.00 90.00 90.00
With the nearest neighbours (Å) after each atom.
Space group I-42d (No. 122)
Symmetry-distinct sites (fractional):
K 0.0000 0.0000 0.0000 x4  4 Br 3.14, 4 Tc 3.36
Tc 0.0728 0.7500 0.6250 x8  2 Tc 2.31
Br 0.0000 0.0000 0.5000 x4  4 Tc 2.80

---

C | VASP calculation (PBE) on a relaxed KTc2Br crystal.

Calculated values
total magnetic moment = 0.64 Bohr magnetons per cell
ρ = 4.64 g/cm³

a b c (Å): 3.4521 6.6439 4.9115
angles (deg): 90.00 91.44 90.00
With the nearest neighbours (Å) after each atom.
Space group P2/m (No. 10)
Symmetry-distinct sites (fractional):
K 0.0000 0.0000 0.0000 x1  4 Br 2.97-3.04
Tc 0.2593 0.5000 0.1499 x2  2 Tc 2.25-2.29
Br 0.5000 0.0000 0.5000 x1  4 K 2.97-3.04

---

D | VASP calculation (PBE) on a relaxed KTc2Br crystal.

Calculated values
total magnetic moment = 0.01 Bohr magnetons per cell
ρ = 4.82 g/cm³

a b c (Å): 12.4454 3.3543 5.5720
angles (deg): 90.00 111.18 90.00
With the nearest neighbours (Å) after each atom.
Space group C2/m (No. 12)
Symmetry-distinct sites (fractional):
K 0.0000 0.0000 0.0000 x2  4 Br 3.25, 2 K 3.35, 2 Tc 3.37
Tc 0.2128 0.0000 0.5829 x4  2 Tc 2.27
Br 0.0000 0.5000 0.5000 x2  4 Tc 3.03, 4 K 3.25, 2 Br 3.35

---

The computed energies, referenced to the most stable structure and given in kJ/mol of atoms, are A 35.7; B 33.2; C 12.6; D 0.0.

---

A | VASP calculation (PBE) on a relaxed K3TeBr crystal.

Calculated values
total magnetic moment = 0.00 Bohr magnetons per cell
ρ = 2.44 g/cm³

a b c (Å): 6.0460 6.0460 6.0460
angles (deg): 90.00 90.00 90.00
With the nearest neighbours (Å) after each atom.
Space group Pm-3m (No. 221)
Symmetry-distinct sites (fractional):
K 0.0000 0.0000 0.5000 x3  2 Br 3.02
Te 0.5000 0.5000 0.5000 x1  12 K 4.28
Br 0.0000 0.0000 0.0000 x1  6 K 3.02

---

B | VASP calculation (PBE) on a relaxed K3TeBr crystal.

Calculated values
total magnetic moment = 0.00 Bohr magnetons per cell
ρ = 2.75 g/cm³

a b c (Å): 9.0467 5.2283 16.6059
angles (deg): 90.00 90.00 90.00
With the nearest neighbours (Å) after each atom.
Space group Pnma (No. 62)
Symmetry-distinct sites (fractional):
K 0.0333 0.2500 0.1318 x4  3 Br 3.20-3.34, 2 Te 3.49-3.56
K 0.1614 0.2500 0.5176 x4  2 Br 3.50, 3 Te 3.63-3.74
K 0.1757 0.7500 0.2799 x4  1 Br 3.16
Te 0.0852 0.7500 0.6635 x4  9 K 3.49-3.90
Br 0.1276 0.2500 0.9374 x4  6 K 3.16-3.50

---

The computed energies, referenced to the most stable structure and given in kJ/mol of atoms, are A 15.1; B 0.0.

---

A | VASP calculation (PBE) on a relaxed K2TeBr4 crystal.

Calculated values
total magnetic moment = 0.00 Bohr magnetons per cell
ρ = 3.25 g/cm³

a b c (Å): 7.8244 7.8244 8.7659
angles (deg): 90.00 90.00 90.00
With the nearest neighbours (Å) after each atom.
Space group I4/mmm (No. 139)
Symmetry-distinct sites (fractional):
K 0.0000 0.5000 0.2500 x4  8 Br 3.53
Te 0.0000 0.0000 0.0000 x2  4 Br 2.78
Br 0.2488 0.2488 0.5000 x8  1 Te 2.78

---

B | VASP calculation (PBE) on a relaxed K2TeBr4 crystal.

Calculated values
total magnetic moment = 0.00 Bohr magnetons per cell
ρ = 2.98 g/cm³

a b c (Å): 6.0456 6.0456 15.9963
angles (deg): 90.00 90.00 90.00
With the nearest neighbours (Å) after each atom.
Space group I4/mmm (No. 139)
Symmetry-distinct sites (fractional):
K 0.0000 0.0000 0.1247 x4  5 Br 3.24-3.62
Te 0.0000 0.0000 0.5000 x2  6 Br 2.76-3.02
Br 0.0000 0.0000 0.3272 x4  1 Te 2.76
Br 0.0000 0.5000 0.0000 x4  2 Te 3.02

---

The computed energies, referenced to the most stable structure and given in kJ/mol of atoms, are A 0.0; B 11.3.

---

A | VASP calculation (PBE) on a relaxed KTe2Br2 crystal.

Calculated values
total magnetic moment = 0.00 Bohr magnetons per cell
ρ = 4.32 g/cm³

a b c (Å): 4.2713 4.2713 19.1219
angles (deg): 90.00 90.00 90.00
With the nearest neighbours (Å) after each atom.
Space group I4/mmm (No. 139)
Symmetry-distinct sites (fractional):
K 0.0000 0.0000 0.0000 x2  8 Br 3.43
Te 0.0000 0.5000 0.2500 x4  4 Te 3.02
Br 0.0000 0.0000 0.4147 x4  1 Br 3.26, 4 K 3.43

---

B | VASP calculation (PBE) on a relaxed KTe2Br2 crystal.

Calculated values
total magnetic moment = 1.94 Bohr magnetons per cell
ρ = 3.20 g/cm³

a b c (Å): 9.2231 9.2231 5.5436
angles (deg): 90.00 90.00 90.00
With the nearest neighbours (Å) after each atom.
Space group P4/mbm (No. 127)
Symmetry-distinct sites (fractional):
K 0.0000 0.0000 0.0000 x2  4 Br 3.27
Te 0.0977 0.4023 0.5000 x4  1 Te 2.55
Br 0.2366 0.2634 0.0000 x4  2 K 3.27, 2 Te 3.31

---

The computed energies, referenced to the most stable structure and given in kJ/mol of atoms, are A 0.0; B 4.7.

---

A | VASP calculation (PBE) on a relaxed KTeBr3 crystal.

Calculated values
total magnetic moment = 4.09 Bohr magnetons per cell
ρ = 2.87 g/cm³

a b c (Å): 6.1702 6.1702 6.1702
angles (deg): 90.00 90.00 90.00
With the nearest neighbours (Å) after each atom.
Space group Pm-3m (No. 221)
Symmetry-distinct sites (fractional):
K 0.0000 0.0000 0.0000 x1  6 Br 3.09
Te 0.5000 0.5000 0.5000 x1  12 Br 4.36
Br 0.0000 0.0000 0.5000 x3  2 K 3.09

---

B | VASP calculation (PBE) on a relaxed KTeBr3 crystal.

Calculated values
total magnetic moment = 0.00 Bohr magnetons per cell
ρ = 3.42 g/cm³

a b c (Å): 5.8206 5.8206 5.8206
angles (deg): 90.00 90.00 90.00
With the nearest neighbours (Å) after each atom.
Space group Pm-3m (No. 221)
Symmetry-distinct sites (fractional):
K 0.0000 0.0000 0.0000 x1  12 Br 4.12
Te 0.5000 0.5000 0.5000 x1  6 Br 2.91
Br 0.0000 0.5000 0.5000 x3  2 Te 2.91

---

C | VASP calculation (PBE) on a relaxed KTeBr3 crystal.

Calculated values
total magnetic moment = 0.00 Bohr magnetons per cell
ρ = 3.14 g/cm³

a b c (Å): 6.4301 6.4844 10.6089
angles (deg): 93.02 101.04 96.84
With the nearest neighbours (Å) after each atom.
Space group P-1 (No. 2)
Symmetry-distinct sites (fractional):
K 0.1849 0.2591 0.3702 x2  6 Br 3.34-3.59
Te 0.4640 0.1318 0.7041 x2  2 Br 2.59-2.60
Br 0.2041 0.0130 0.8539 x2  1 Te 2.60
Br 0.2626 0.7664 0.4997 x2  2 Te 3.09-3.11, 2 K 3.41-3.44
Br 0.3356 0.5503 0.1450 x2  1 Te 2.59

---

The computed energies, referenced to the most stable structure and given in kJ/mol of atoms, are A 77.8; B 7.8; C 0.0.

---

A | VASP calculation (PBE) on a relaxed KTeBr4 crystal.

Calculated values
total magnetic moment = 0.00 Bohr magnetons per cell
ρ = 3.66 g/cm³

a b c (Å): 18.9863 7.6702 6.1839
angles (deg): 90.00 101.28 90.00
With the nearest neighbours (Å) after each atom.
Space group C2/m (No. 12)
Symmetry-distinct sites (fractional):
K 0.2198 0.0000 0.2616 x4  6 Br 3.32-3.55
Te 0.0600 0.5000 0.3405 x4  4 Br 2.62-2.90
Br 0.0000 0.2514 0.0000 x4  2 Te 2.90
Br 0.1222 0.2445 0.5888 x8  1 Te 2.62
Br 0.2062 0.5000 0.1831 x4  1 Te 3.12, 2 K 3.32-3.45

---

B | VASP calculation (PBE) on a relaxed KTeBr4 crystal.

Calculated values
total magnetic moment = 4.10 Bohr magnetons per cell
ρ = 4.01 g/cm³

a b c (Å): 9.3038 9.3038 9.3038
angles (deg): 90.00 90.00 90.00
With the nearest neighbours (Å) after each atom.
Space group F-43m (No. 216)
Symmetry-distinct sites (fractional):
K 0.0000 0.0000 0.0000 x4  12 Br 3.86, 4 Te 4.03
Te 0.2500 0.2500 0.2500 x4  12 Br 3.86, 4 K 4.03
Br 0.1251 0.1251 0.6251 x16  6 Br 3.29

---

The computed energies, referenced to the most stable structure and given in kJ/mol of atoms, are A 0.0; B 78.0.

---

A | VASP calculation (PBE) on a relaxed KTeBr5 crystal.

Calculated values
total magnetic moment = 0.00 Bohr magnetons per cell
ρ = 2.94 g/cm³

a b c (Å): 8.9403 12.0354 5.9532
angles (deg): 90.00 90.00 90.00
With the nearest neighbours (Å) after each atom.
Space group Imm2 (No. 44)
Symmetry-distinct sites (fractional):
K 0.0000 0.0000 0.0000 x2  6 Br 3.37-3.46
Te 0.0000 0.5000 0.9981 x2  5 Br 2.57-2.73
Br 0.0000 0.2789 0.0446 x4  1 Te 2.68
Br 0.0000 0.5000 0.5670 x2  1 Te 2.57
Br 0.1948 0.0000 0.5030 x4  1 Te 2.73

---

B | VASP calculation (PBE) on a relaxed KTeBr5 crystal.

Calculated values
total magnetic moment = 0.00 Bohr magnetons per cell
ρ = 3.33 g/cm³

a b c (Å): 12.8706 8.6181 11.1473
angles (deg): 90.00 114.16 90.00
With the nearest neighbours (Å) after each atom.
Space group C2/c (No. 15)
Symmetry-distinct sites (fractional):
K 0.0000 0.0220 0.2500 x4  7 Br 3.37-3.66
Te 0.0000 0.5000 0.0000 x4  6 Br 2.67-2.85
Br 0.0000 0.4313 0.2500 x4  2 Te 2.85
Br 0.0905 0.2125 0.0147 x8  1 Te 2.71
Br 0.2080 0.3760 0.6182 x8  1 Te 2.67

---

The computed energies, referenced to the most stable structure and given in kJ/mol of atoms, are A 0.7; B 0.0.

---

A | VASP calculation (PBE) on a relaxed KTh2Br8 crystal.

Calculated values
total magnetic moment = 2.36 Bohr magnetons per cell
ρ = 5.28 g/cm³

a b c (Å): 9.2120 13.5431 5.8650
angles (deg): 90.00 101.00 90.00
With the nearest neighbours (Å) after each atom.
Space group C2/m (No. 12)
Symmetry-distinct sites (fractional):
K 0.0000 0.0000 0.0000 x2  8 Br 3.47-3.78
Th 0.0000 0.3191 0.5000 x4  8 Br 3.02-3.05
Br 0.0000 0.2564 0.0000 x4  2 Th 3.05
Br 0.1044 0.5000 0.7860 x4  2 Th 3.02
Br 0.1918 0.1348 0.5766 x8  2 Th 3.02-3.04

---

B | VASP calculation (PBE) on a relaxed KTh2Br8 crystal.

Calculated values
total magnetic moment = 2.00 Bohr magnetons per cell
ρ = 4.70 g/cm³

a b c (Å): 14.0198 6.8819 9.6109
angles (deg): 90.00 119.51 90.00
With the nearest neighbours (Å) after each atom.
Space group C2/m (No. 12)
Symmetry-distinct sites (fractional):
K 0.0000 0.0000 0.0000 x2  6 Br 3.54-3.66
Th 0.1403 0.0000 0.5714 x4  6 Br 2.80-3.01
Br 0.0267 0.2466 0.6974 x8  2 Th 2.96-3.01
Br 0.1688 0.5000 0.1301 x4  1 Th 2.80
Br 0.2458 0.5000 0.6155 x4  1 Th 2.93

---

The computed energies, referenced to the most stable structure and given in kJ/mol of atoms, are A 1.1; B 0.0.